# InCu4Au4 PBE optimized geometry
# **Size of the total moment**: 0.000 μB per cell
# **V**: 16.07 A^3/atom
# **DFT formation energy**: -0.203 eV/f.u.
# **Electronic total energy**: -64.87 eV for the cell shown
data_InCu4Au4
_cell_length_a 8.398
_cell_length_b 8.398
_cell_length_c 4.102
_cell_angle_alpha 90.00
_cell_angle_beta 90.00
_cell_angle_gamma 90.00
_symmetry_space_group_name_H-M 'I 4/m'
_symmetry_Int_Tables_number 87
_symmetry_space_group_name_Hall '-I 4'
loop_
_atom_site_label
_atom_site_type_symbol
_atom_site_fract_x
_atom_site_fract_y
_atom_site_fract_z
In1 In 0.000 0.000 0.000
Cu1 Cu 0.013 0.647 0.000
Au1 Au 0.152 0.809 0.500

=====

# In4CuAu PBE optimized geometry
# **Size of the total moment**: 0.000 μB per cell
# **V**: 23.65 A^3/atom
# **DFT formation energy**: -0.811 eV/f.u.
# **Electronic total energy**: -19.14 eV for the cell shown
# **Energy above the lowest structure with this stoichiometry**: 0.000 eV per atom
data_In4CuAu
_cell_length_a 4.645
_cell_length_b 4.645
_cell_length_c 6.578
_cell_angle_alpha 90.00
_cell_angle_beta 90.00
_cell_angle_gamma 90.00
_symmetry_space_group_name_H-M 'P 4/m m m'
_symmetry_Int_Tables_number 123
_symmetry_space_group_name_Hall '-P 4 2'
loop_
_atom_site_label
_atom_site_type_symbol
_atom_site_fract_x
_atom_site_fract_y
_atom_site_fract_z
In1 In 0.000 0.500 0.239
Cu1 Cu 0.000 0.000 0.000
Au1 Au 0.500 0.500 0.500

=====

> What is the V in the first record?

16.07 A^3/atom